4
Lattice="4.9139 -0.0664 0.0000 1.3363 4.7292 0.0000 -3.1251 -2.3314 2.9915" Properties=species:S:1:pos:R:3 comment="HgPt2Au (GGA-PBE, optimized geometry)" n_ef_per_ev_cell=1.95 magmom_total_mub_per_fu=0.00 total_energy_ev_per_fu=-15.49 pbc="T T T"
Pt 0.0000 0.0000 0.0000
Pt 3.1251 2.3314 0.0000
Au 0.6682 2.3646 1.4958
Hg 2.4570 -0.0332 1.4958

4
Lattice="-2.7901 -1.1804 3.8752 -2.0216 -2.3457 -3.8218 1.7426 -2.3698 0.5328" Properties=species:S:1:pos:R:3 comment="HgPt2Au (GGA-PBE, optimized geometry)" n_ef_per_ev_cell=2.10 magmom_total_mub_per_fu=0.00 total_energy_ev_per_fu=-15.47 pbc="T T T"
Pt -2.4059 -1.7630 0.0267
Pt 0.0000 0.0000 0.0000
Hg -0.1395 -2.3578 -1.6445
Au -0.5238 -1.7751 2.2040

4
Lattice="4.9786 0.0166 0.0000 1.4569 4.7607 0.0000 -3.2178 -2.3886 2.9542" Properties=species:S:1:pos:R:3 comment="HgPt2Au (GGA-PBE, optimized geometry)" n_ef_per_ev_cell=2.53 magmom_total_mub_per_fu=0.00 total_energy_ev_per_fu=-15.35 pbc="T T T"
Hg 2.4893 0.0083 1.4771
Au 3.2178 2.3886 0.0000
Pt 0.7285 2.3804 1.4771
Pt 0.0000 0.0000 0.0000

4
Lattice="-2.2099 1.4511 -1.2100 -1.3758 0.0403 2.5610 3.6971 7.1922 1.8730" Properties=species:S:1:pos:R:3 comment="HgPt2Au (GGA-PBE, optimized geometry)" n_ef_per_ev_cell=2.36 magmom_total_mub_per_fu=0.00 total_energy_ev_per_fu=-15.39 pbc="T T T"
Hg 1.0190 6.2159 2.1001
Pt 0.0397 0.0772 0.0201
Pt -0.8974 2.4877 1.1292
Au 1.7986 3.4989 0.9112

5
Lattice="5.1109 0.0000 0.0000 0.0000 5.1109 0.0000 0.0000 0.0000 5.1109" Properties=species:S:1:pos:R:3 comment="HgPtAu3 (GGA-PBE, optimized geometry)" n_ef_per_ev_cell=4.98 e_above_lowest_polymorph_mev_per_atom=0 magmom_total_mub_per_fu=0.00 total_energy_ev_per_fu=-12.80 pbc="T T T"
Pt 0.0000 0.0000 0.0000
Au 0.0000 2.5555 0.0000
Au 0.0000 0.0000 2.5555
Au 2.5555 0.0000 0.0000
Hg 2.5555 2.5555 2.5555

9
Lattice="0.2558 -2.3871 5.8784 -5.5976 2.8972 0.7701 2.0887 -4.9154 -3.4345" Properties=species:S:1:pos:R:3 comment="HgPt2Au6 (GGA-PBE, optimized geometry)" n_ef_per_ev_cell=3.80 magmom_total_mub_per_fu=0.00 total_energy_ev_per_fu=-31.25 pbc="T T T"
Au -0.1657 -2.2681 1.9363
Au -1.2916 -2.4508 -0.8497
Au -1.9615 -1.9546 4.0637
Au -3.0873 -2.1372 1.2777
Au -3.9189 0.4529 0.4108
Au 0.6658 -4.8583 2.8032
Pt -1.7751 0.1695 2.2093
Pt -3.5667 0.3405 4.4392
Hg 0.0000 0.0000 0.0000

10
Lattice="-6.7694 -2.3696 -0.6752 1.4499 -2.2349 -6.6931 1.0820 -3.4898 1.3997" Properties=species:S:1:pos:R:3 comment="Hg2PtAu2 (GGA-PBE, optimized geometry)" n_ef_per_ev_cell=3.05 e_above_lowest_polymorph_mev_per_atom=0 magmom_total_mub_per_fu=0.00 total_energy_ev_per_fu=-12.17 pbc="T T T"
Pt -2.6597 -2.3022 -3.6841
Pt 0.0000 0.0000 0.0000
Au -4.1209 -1.8221 -1.3574
Au -4.9068 -3.4684 -4.8546
Au -0.4126 -1.1361 -2.5136
Au -1.1986 -2.7824 -6.0109
Hg -4.6163 -4.4640 -2.0931
Hg 0.3788 -3.6303 -3.8755
Hg -2.7645 -5.1871 -5.3272
Hg -1.4730 -2.9072 -0.6413

4
Lattice="-2.5287 -0.3253 1.5631 0.8731 -2.7331 0.8436 3.4928 3.0562 6.2864" Properties=species:S:1:pos:R:3 comment="HgPt2Au (GGA-PBE, optimized geometry)" n_ef_per_ev_cell=2.10 magmom_total_mub_per_fu=0.00 total_energy_ev_per_fu=-15.42 pbc="T T T"
Au 0.9186 -0.0011 4.3466
Pt 2.6019 2.2767 4.6831
Pt 0.8908 0.7795 1.6034
Hg -0.8278 -1.5292 1.2034

4
Lattice="-4.0491 4.0369 -0.3955 -4.1254 0.3587 3.9624 5.5276 0.2463 -1.4946" Properties=species:S:1:pos:R:3 comment="HgPt2Au (GGA-PBE, optimized geometry)" n_ef_per_ev_cell=2.78 magmom_total_mub_per_fu=0.00 total_energy_ev_per_fu=-15.35 pbc="T T T"
Au -4.1483 2.2306 1.8101
Pt -8.1145 4.3634 3.5407
Pt -1.3606 3.2708 -0.0288
Hg -1.2853 1.3706 2.1006

4
Lattice="-5.9592 -7.5135 -0.6501 -3.4963 -8.8221 -1.5275 -4.0945 -8.5946 1.3252" Properties=species:S:1:pos:R:3 comment="HgPt2Au (GGA-PBE, optimized geometry)" n_ef_per_ev_cell=3.03 magmom_total_mub_per_fu=0.00 total_energy_ev_per_fu=-15.29 pbc="T T T"
Au -6.8184 -12.5449 -0.4290
Pt -3.4096 -6.2733 -0.2145
Pt -13.5158 -24.8674 -0.8503
Hg -10.1312 -18.6401 -0.6374

4
Lattice="-2.6146 -3.8274 1.6378 2.4252 -1.5417 0.2688 0.5313 1.6301 4.6575" Properties=species:S:1:pos:R:3 comment="HgPt2Au (GGA-PBE, optimized geometry)" n_ef_per_ev_cell=1.77 magmom_total_mub_per_fu=0.00 total_energy_ev_per_fu=-15.37 pbc="T T T"
Pt 0.0021 0.0040 0.0125
Pt 1.4762 0.0402 2.4506
Hg 0.9100 -1.8474 4.5136
Au -0.5682 -1.8916 2.0505

3
Lattice="-0.0549 0.8162 -4.4423 -3.9286 0.6792 -2.1231 -1.0598 4.1168 -1.5270" Properties=species:S:1:pos:R:3 comment="HgPtAu (GGA-PBE, optimized geometry)" n_ef_per_ev_cell=1.83 e_above_lowest_polymorph_mev_per_atom=166 magmom_total_mub_per_fu=0.00 total_energy_ev_per_fu=-9.16 pbc="T T T"
Pt -1.2608 1.4031 -2.0231
Hg -2.5216 2.8061 -4.0462
Au 0.0000 0.0000 0.0000

12
Lattice="-0.0705 6.1571 -2.4189 -0.8760 -1.2327 -6.3407 -5.7669 0.0098 -3.0424" Properties=species:S:1:pos:R:3 comment="HgPtAu (GGA-PBE, optimized geometry)" n_ef_per_ev_cell=5.01 e_above_lowest_polymorph_mev_per_atom=86 magmom_total_mub_per_fu=0.00 total_energy_ev_per_fu=-9.40 pbc="T T T"
Pt -0.8308 4.8305 -4.4228
Pt -5.8826 0.1038 -7.3791
Pt -4.1522 4.2190 -9.1144
Pt -2.5612 0.7153 -2.6875
Au -4.9096 5.1078 -5.0634
Au -1.8038 -0.1734 -6.7385
Au -2.4642 4.4865 -6.7124
Au -4.2492 0.4478 -5.0895
Hg -4.8085 2.6932 -6.7586
Hg -5.2265 1.6297 -9.7350
Hg -1.4869 3.3046 -2.0670
Hg -1.9049 2.2412 -5.0433

4
Lattice="-0.1269 -4.9290 0.8041 2.7150 -4.1497 0.6052 0.3691 -0.0617 5.0306" Properties=species:S:1:pos:R:3 comment="HgPt2Au (GGA-PBE, optimized geometry)" n_ef_per_ev_cell=1.70 magmom_total_mub_per_fu=0.00 total_energy_ev_per_fu=-15.44 pbc="T T T"
Pt 0.3805 -0.1072 5.0155
Pt 2.2071 -6.8162 4.8277
Hg 0.7464 -2.3196 1.5768
Au 1.4710 -4.5294 3.2704

4
Lattice="-3.6359 2.8357 -0.4175 -2.5986 0.9924 3.7010 0.1434 4.2372 1.8603" Properties=species:S:1:pos:R:3 comment="HgPt2Au (GGA-PBE, optimized geometry)" n_ef_per_ev_cell=2.79 magmom_total_mub_per_fu=0.00 total_energy_ev_per_fu=-15.24 pbc="T T T"
Hg -4.5683 6.0490 3.8578
Pt 0.0000 0.0000 0.0000
Pt -1.5228 2.0163 1.2859
Au -3.0456 4.0326 2.5719

5
Lattice="4.9773 0.0000 0.0000 0.0000 4.9773 0.0000 0.0000 0.0000 4.9773" Properties=species:S:1:pos:R:3 comment="HgPt3Au (GGA-PBE, optimized geometry)" n_ef_per_ev_cell=3.30 e_above_lowest_polymorph_mev_per_atom=0 magmom_total_mub_per_fu=0.00 total_energy_ev_per_fu=-15.45 pbc="T T T"
Pt 0.0000 2.4887 0.0000
Pt 2.4887 0.0000 0.0000
Pt 0.0000 0.0000 2.4887
Hg 2.4887 2.4887 2.4887
Au 0.0000 0.0000 0.0000

8
Lattice="-2.8167 0.2807 -2.7312 -2.7323 -0.6707 2.7489 -3.4496 9.4887 1.7005" Properties=species:S:1:pos:R:3 comment="HgPt2Au (GGA-PBE, optimized geometry)" n_ef_per_ev_cell=7.60 magmom_total_mub_per_fu=0.00 total_energy_ev_per_fu=-14.63 pbc="T T T"
Au -2.7745 -0.1950 0.0089
Au -4.4782 4.3115 2.2292
Pt -4.6854 6.9660 1.2995
Pt -2.9400 1.9899 1.7845
Pt -7.4252 6.7796 1.2735
Pt -2.9465 2.4620 -0.9209
Hg 0.0000 0.0000 0.0000
Hg -4.5204 4.7872 -0.5109

6
Lattice="-5.3216 1.8271 0.5052 -3.6783 -0.9037 -3.9012 -3.8990 -3.1907 2.0454" Properties=species:S:1:pos:R:3 comment="HgPtAu (GGA-PBE, optimized geometry)" n_ef_per_ev_cell=3.33 e_above_lowest_polymorph_mev_per_atom=115 magmom_total_mub_per_fu=0.00 total_energy_ev_per_fu=-9.31 pbc="T T T"
Hg -5.6919 -1.4795 -2.6906
Hg -8.4070 -1.1288 -0.9750
Pt -7.1594 -2.4457 1.1416
Pt -9.8200 -1.5321 1.3938
Au -11.6598 -1.9849 -0.5562
Au -5.2102 -0.8506 0.1174

3
Lattice="-1.6858 -5.6880 2.1295 0.2217 -4.6453 4.2545 -2.3564 0.5723 1.8336" Properties=species:S:1:pos:R:3 comment="HgPtAu (GGA-PBE, optimized geometry)" n_ef_per_ev_cell=0.46 e_above_lowest_polymorph_mev_per_atom=83 magmom_total_mub_per_fu=0.00 total_energy_ev_per_fu=-9.41 pbc="T T T"
Pt -1.7625 -6.6864 4.8623
Hg -2.0634 -3.0083 3.3276
Au -2.3509 0.5059 1.8612

8
Lattice="-1.2532 -3.1607 -2.3387 5.5817 -1.9968 -0.2923 -0.9072 -3.2521 4.8815" Properties=species:S:1:pos:R:3 comment="HgPtAu6 (GGA-PBE, optimized geometry)" n_ef_per_ev_cell=2.33 magmom_total_mub_per_fu=0.00 total_energy_ev_per_fu=-25.64 pbc="T T T"
Hg 1.7106 -4.2049 1.1253
Au 3.5310 -3.9649 3.4665
Au 1.1435 -1.2841 1.1227
Au 0.6813 -2.9448 3.6150
Au -1.0802 -3.2064 1.2714
Au 3.9932 -2.3041 0.9742
Au 2.1643 -2.5788 -1.3155
Pt -0.6266 -1.5804 -1.1693